Record 1
Compound: K7Rb2Hg2
Source: Alexandria
Functional: PBE
Structure: optimized geometry

Cell lengths 5.940, 13.101, 16.828 Å; angles 90.00, 90.00, 90.00 degrees
Space group Immm (No. 71)
Inequivalent atoms, fractional coordinates:
K (0.000, 0.000, 0.000) (multiplicity 2)
K (0.000, 0.259, 0.136) (multiplicity 8)
K (0.000, 0.500, 0.339) (multiplicity 4)
Rb (0.000, 0.000, 0.377) (multiplicity 4)
Hg (0.000, 0.289, 0.500) (multiplicity 4)



Record 2
Compound: ScNbAs2
Source: Alexandria
Functional: PBE
Structure: optimized geometry

E above lowest polymorph in meV per atom: 357

Cell lengths 6.572, 6.572, 6.572 Å; angles 90.00, 90.00, 90.00 degrees
Space group Fm-3m (No. 225)
Inequivalent atoms, fractional coordinates:
Sc (0.000, 0.000, 0.000) (multiplicity 4)
Nb (0.000, 0.000, 0.500) (multiplicity 4)
As (0.250, 0.250, 0.250) (multiplicity 8)



Record 3
Compound: Dy2Sc4Tl
Source: Alexandria
Functional: PBE
Structure: optimized geometry

Cell lengths 5.966, 13.074, 5.336 Å; angles 90.00, 90.00, 90.00 degrees
Space group Cmmm (No. 65)
Inequivalent atoms, fractional coordinates:
Dy (0.000, 0.130, 0.000) (multiplicity 4)
Sc (0.000, 0.269, 0.500) (multiplicity 4)
Sc (0.000, 0.375, 0.000) (multiplicity 4)
Tl (0.000, 0.500, 0.500) (multiplicity 2)



Record 4
Compound: Tb2PuZrN4
Source: Alexandria
Functional: PBE
Structure: optimized geometry

E_form (uncorrected) in eV per atom: -1.59

Cell lengths 5.923, 3.424, 5.924 Å; angles 90.00, 109.35, 90.00 degrees
Space group P2/m (No. 10)
Inequivalent atoms, fractional coordinates:
Tb (0.000, 0.000, 0.000) (multiplicity 1)
Tb (0.500, 0.500, 0.000) (multiplicity 1)
Pu (0.000, 0.500, 0.500) (multiplicity 1)
Zr (0.500, 0.000, 0.500) (multiplicity 1)
N (0.252, 0.000, 0.735) (multiplicity 2)
N (0.262, 0.500, 0.267) (multiplicity 2)



| no. | calculated volume (Å³ per cell) | total DFT energy (no corrections) (eV per atom) | N(E_F) (states/eV/f.u.) |
| --- | --- | --- | --- |
| 1 | 1310 | -0.99 | 7.33 |
| 2 | 284 | -7.04 | 5.45 |
| 3 | 416 | -4.77 | 12.39 |
| 4 | 113 | -9.77 | 6.29 |